The following is a PBE calculation of a relaxed ScInNi crystal, from the Alexandria database.

## Properties
Its theoretical density is 6.7 g/cm³. The total energy is -5.31 eV per atom. The magnetization is 0.000 μB per formula unit.

Cell and atoms, written as CIF:
```
data_ScInNi
_chemical_formula_sum 'Sc2 In2 Ni2'
_space_group_name_H-M_alt 'I 4 m m'
_space_group_IT_number 107
_space_group_name_Hall 'I 4 -2'
_cell_length_a 3.161
_cell_length_b 3.161
_cell_length_c 10.901
_cell_angle_alpha 90.00
_cell_angle_beta 90.00
_cell_angle_gamma 90.00
loop_
_atom_site_label
_atom_site_type_symbol
_atom_site_fract_x
_atom_site_fract_y
_atom_site_fract_z
_atom_site_occupancy
Sc1 Sc 0.000 0.000 0.000 1
In1 In 0.000 0.000 0.709 1
Ni1 Ni 0.000 0.000 0.358 1
```

The following is a PBE calculation of a relaxed ScIn2Ni2 crystal, from the Alexandria database.

## Properties
Its theoretical density is 7.2 g/cm³. The total energy is -5.03 eV per atom. The magnetization is 0.000 μB per formula unit.

Cell and atoms, written as CIF:
```
data_ScIn2Ni2
_chemical_formula_sum 'Sc1 In2 Ni2'
_space_group_name_H-M_alt 'P -3 m 1'
_space_group_IT_number 164
_space_group_name_Hall '-P 3 2"'
_cell_length_a 4.4589
_cell_length_b 4.4589
_cell_length_c 5.2527
_cell_angle_alpha 90.00
_cell_angle_beta 90.00
_cell_angle_gamma 120.00
loop_
_atom_site_label
_atom_site_type_symbol
_atom_site_fract_x
_atom_site_fract_y
_atom_site_fract_z
_atom_site_occupancy
Sc1 Sc 0.0000 0.0000 0.0000 1
In1 In 0.3333 0.6667 0.6481 1
Ni1 Ni 0.3333 0.6667 0.1425 1
```

The following is a PBE calculation of a relaxed Sc2InNi crystal, from the Alexandria database.

## Properties
Its theoretical density is 5.4 g/cm³. The total energy is -5.62 eV per atom. The magnetization is 0.000 μB per formula unit.

Cell and atoms, written as CIF:
```
data_Sc2InNi
_chemical_formula_sum 'Sc2 In1 Ni1'
_space_group_name_H-M_alt 'P 1 m 1'
_space_group_IT_number 6
_cell_length_a 3.484
_cell_length_b 4.259
_cell_length_c 5.720
_cell_angle_alpha 90.00
_cell_angle_beta 107.64
_cell_angle_gamma 90.00
loop_
_space_group_symop_operation_xyz
'x,y,z'
'x,-y,z'
loop_
_atom_site_label
_atom_site_type_symbol
_atom_site_fract_x
_atom_site_fract_y
_atom_site_fract_z
_atom_site_occupancy
Sc1 Sc 0.000 0.000 0.000 1
Sc2 Sc 0.319 0.500 0.640 1
In1 In 0.600 0.500 0.200 1
Ni1 Ni 0.756 0.000 0.516 1
```

The following is a PBE calculation of a relaxed ScInNi crystal, from the Alexandria database.

## Properties
Its theoretical density is 6.0 g/cm³. The total energy is -5.28 eV per atom. The magnetization is 0.000 μB per formula unit.

Cell and atoms, written as CIF:
```
data_ScInNi
_chemical_formula_sum 'Sc4 In4 Ni4'
_space_group_name_H-M_alt 'F -4 3 m'
_space_group_IT_number 216
_space_group_name_Hall 'F -4 2 3'
_cell_length_a 6.224
_cell_length_b 6.224
_cell_length_c 6.224
_cell_angle_alpha 90.00
_cell_angle_beta 90.00
_cell_angle_gamma 90.00
loop_
_atom_site_label
_atom_site_type_symbol
_atom_site_fract_x
_atom_site_fract_y
_atom_site_fract_z
_atom_site_occupancy
Sc1 Sc 0.000 0.000 0.000 1
In1 In 0.000 0.000 0.500 1
Ni1 Ni 0.250 0.250 0.250 1
```

The following is a PBE calculation of a relaxed Sc2InNi2 crystal, from the Alexandria database.

## Properties
Its theoretical density is 5.7 g/cm³. The total energy is -5.66 eV per atom. The magnetization is 0.000 μB per formula unit.

Cell and atoms, written as CIF:
```
data_Sc2InNi2
_chemical_formula_sum 'Sc4 In2 Ni4'
_space_group_name_H-M_alt 'I 4/m m m'
_space_group_IT_number 139
_space_group_name_Hall '-I 4 2'
_cell_length_a 3.385
_cell_length_b 3.385
_cell_length_c 16.476
_cell_angle_alpha 90.00
_cell_angle_beta 90.00
_cell_angle_gamma 90.00
loop_
_atom_site_label
_atom_site_type_symbol
_atom_site_fract_x
_atom_site_fract_y
_atom_site_fract_z
_atom_site_occupancy
Sc1 Sc 0.000 0.000 0.128 1
In1 In 0.000 0.000 0.500 1
Ni1 Ni 0.000 0.500 0.250 1
```

The following is a PBE calculation of a relaxed Sc8InNi2 crystal, from the Alexandria database.

## Properties
Its theoretical density is 4.1 g/cm³. The total energy is -6.13 eV per atom. The magnetization is 1.718 μB per formula unit.

Cell and atoms, written as CIF:
```
data_Sc8InNi2
_chemical_formula_sum 'Sc16 In2 Ni4'
_space_group_name_H-M_alt 'C 1 2/m 1'
_space_group_IT_number 12
_cell_length_a 8.191
_cell_length_b 12.521
_cell_length_c 4.834
_cell_angle_alpha 90.00
_cell_angle_beta 103.98
_cell_angle_gamma 90.00
loop_
_space_group_symop_operation_xyz
'x,y,z'
'-x,-y,-z'
'-x,y,-z'
'x,-y,z'
'x+1/2,y+1/2,z'
'-x+1/2,-y+1/2,-z'
'-x+1/2,y+1/2,-z'
'x+1/2,-y+1/2,z'
loop_
_atom_site_label
_atom_site_type_symbol
_atom_site_fract_x
_atom_site_fract_y
_atom_site_fract_z
_atom_site_occupancy
Sc1 Sc 0.000 0.250 0.000 1
Sc2 Sc 0.109 0.000 0.802 1
Sc3 Sc 0.200 0.372 0.576 1
In1 In 0.000 0.500 0.000 1
Ni1 Ni 0.000 0.188 0.500 1
```

The following is a PBE calculation of a relaxed Sc2InNi crystal, from the Alexandria database.

## Properties
Its theoretical density is 5.7 g/cm³. The total energy is -5.52 eV per atom. The magnetization is 0.000 μB per formula unit.

Cell and atoms, written as CIF:
```
data_Sc2InNi
_chemical_formula_sum 'Sc4 In2 Ni2'
_space_group_name_H-M_alt 'I -4 m 2'
_space_group_IT_number 119
_space_group_name_Hall 'I -4 -2'
_cell_length_a 4.135
_cell_length_b 4.135
_cell_length_c 9.019
_cell_angle_alpha 90.00
_cell_angle_beta 90.00
_cell_angle_gamma 90.00
loop_
_atom_site_label
_atom_site_type_symbol
_atom_site_fract_x
_atom_site_fract_y
_atom_site_fract_z
_atom_site_occupancy
Sc1 Sc 0.000 0.000 0.000 1
Sc2 Sc 0.000 0.500 0.250 1
In1 In 0.000 0.500 0.750 1
Ni1 Ni 0.000 0.000 0.500 1
```

The following is a PBE calculation of a relaxed Sc2In2Ni crystal, from the Alexandria database.

## Properties
Its theoretical density is 5.9 g/cm³. The total energy is -5.02 eV per atom. The magnetization is 0.000 μB per formula unit.

Cell and atoms, written as CIF:
```
data_Sc2In2Ni
_chemical_formula_sum 'Sc4 In4 Ni2'
_space_group_name_H-M_alt 'P 4/m b m'
_space_group_IT_number 127
_space_group_name_Hall '-P 4 2ab'
_cell_length_a 6.918
_cell_length_b 6.918
_cell_length_c 4.434
_cell_angle_alpha 90.00
_cell_angle_beta 90.00
_cell_angle_gamma 90.00
loop_
_atom_site_label
_atom_site_type_symbol
_atom_site_fract_x
_atom_site_fract_y
_atom_site_fract_z
_atom_site_occupancy
Sc1 Sc 0.164 0.336 0.000 1
In1 In 0.147 0.647 0.500 1
Ni1 Ni 0.000 0.000 0.500 1
```

The following is a PBE calculation of a relaxed ScIn2Ni crystal, from the Alexandria database.

## Properties
Its theoretical density is 7.1 g/cm³. The total energy is -4.57 eV per atom. The magnetization is 0.000 μB per formula unit.

Cell and atoms, written as CIF:
```
data_ScIn2Ni
_chemical_formula_sum 'Sc2 In4 Ni2'
_space_group_name_H-M_alt 'I -4 m 2'
_space_group_IT_number 119
_space_group_name_Hall 'I -4 -2'
_cell_length_a 4.356
_cell_length_b 4.356
_cell_length_c 8.176
_cell_angle_alpha 90.00
_cell_angle_beta 90.00
_cell_angle_gamma 90.00
loop_
_atom_site_label
_atom_site_type_symbol
_atom_site_fract_x
_atom_site_fract_y
_atom_site_fract_z
_atom_site_occupancy
Sc1 Sc 0.000 0.000 0.000 1
In1 In 0.000 0.000 0.500 1
In2 In 0.000 0.500 0.750 1
Ni1 Ni 0.000 0.500 0.250 1
```

The following is a PBE calculation of a relaxed Sc2InNi crystal, from the Alexandria database.

## Properties
Its theoretical density is 5.2 g/cm³. The total energy is -5.56 eV per atom. The magnetization is 0.000 μB per formula unit.

Cell and atoms, written as CIF:
```
data_Sc2InNi
_chemical_formula_sum 'Sc6 In3 Ni3'
_space_group_name_H-M_alt 'R -3 m'
_space_group_IT_number 166
_space_group_name_Hall '-R 3 2"'
_cell_length_a 3.3926
_cell_length_b 3.3926
_cell_length_c 25.2944
_cell_angle_alpha 90.00
_cell_angle_beta 90.00
_cell_angle_gamma 120.00
loop_
_atom_site_label
_atom_site_type_symbol
_atom_site_fract_x
_atom_site_fract_y
_atom_site_fract_z
_atom_site_occupancy
Sc1 Sc 0.0000 0.0000 0.2334 1
In1 In 0.0000 0.0000 0.0000 1
Ni1 Ni 0.0000 0.0000 0.5000 1
```

Q: Which calculated formation energy values were calculated for the entries above? A: -0.36, -0.36, -0.33, -0.33, -0.27, -0.22, -0.23, -0.24, -0.17, -0.27, in eV per atom.